# HoTmTl2S4

An optimized crystal structure of HoTmTl2S4 (PBE-GGA, Alexandria via LeMat-Bulk).

DOS(E_F)   0.00 states/eV/f.u.
Symmetry   P2/m, No. 10
Calculated total energy   -42.2 eV per formula unit

Cell lengths 6.9177, 3.9937, 7.8701 Å; angles 90.00, 107.02, 90.00 degrees
Atoms (fractional coordinates):
Ho1 0.0000 0.0000 0.0000
Tm1 0.5000 0.5000 0.0000
Tl1 0.0000 0.5000 0.5000
Tl2 0.5000 0.0000 0.5000
S1 0.2341 0.5000 0.1964
S2 0.2703 0.0000 0.8045
S3 0.7297 0.0000 0.1955
S4 0.7659 0.5000 0.8036

# HoUTl2S6

An optimized crystal structure of HoUTl2S6 (PBE-GGA, Alexandria via LeMat-Bulk).

DOS(E_F)   7.70 states/eV/f.u.
Symmetry   P2_1/c, No. 14
Calculated total energy   -55.3 eV per formula unit

Cell lengths 7.1352, 7.2312, 12.4741 Å; angles 90.00, 124.74, 90.00 degrees
Atoms (fractional coordinates):
Ho1 0.0000 0.0000 0.0000
Ho2 0.0000 0.5000 0.5000
U1 0.5000 0.0000 0.5000
U2 0.5000 0.5000 0.0000
Tl1 0.2414 0.0455 0.7486
Tl2 0.2414 0.4545 0.2486
Tl3 0.7586 0.5455 0.7514
Tl4 0.7586 0.9545 0.2514
S1 0.1649 0.1910 0.4599
S2 0.1649 0.3090 0.9599
S3 0.2675 0.7072 0.4557
S4 0.2675 0.7928 0.9557
S5 0.3421 0.0183 0.2570
S6 0.3421 0.4817 0.7570
S7 0.6579 0.5183 0.2430
S8 0.6579 0.9817 0.7430
S9 0.7325 0.2072 0.0443
S10 0.7325 0.2928 0.5443
S11 0.8351 0.6910 0.0401
S12 0.8351 0.8090 0.5401

# Ho3UTl4S8

An optimized crystal structure of Ho3UTl4S8 (PBE-GGA, Alexandria via LeMat-Bulk).

DOS(E_F)   8.56 states/eV/f.u.
Symmetry   R-3m, No. 166
Calculated total energy   -89.2 eV per formula unit

Cell lengths 8.8729, 8.8729, 8.8729 Å; angles 53.87, 53.87, 53.87 degrees
Atoms (fractional coordinates):
Ho1 0.0000 0.5000 0.5000
Ho2 0.5000 0.0000 0.5000
Ho3 0.5000 0.5000 0.0000
U1 0.0000 0.0000 0.0000
Tl1 0.0000 0.0000 0.5000
Tl2 0.0000 0.5000 0.0000
Tl3 0.5000 0.0000 0.0000
Tl4 0.5000 0.5000 0.5000
S1 0.2326 0.2326 0.7313
S2 0.2326 0.7313 0.2326
S3 0.2684 0.2684 0.2684
S4 0.2687 0.7674 0.7675
S5 0.7313 0.2326 0.2326
S6 0.7316 0.7316 0.7316
S7 0.7674 0.2687 0.7674
S8 0.7674 0.7674 0.2687

# Ho2UTl3S6

An optimized crystal structure of Ho2UTl3S6 (PBE-GGA, Alexandria via LeMat-Bulk).

DOS(E_F)   9.38 states/eV/f.u.
Symmetry   C2/m, No. 12
Calculated total energy   -68.0 eV per formula unit

Cell lengths 6.9689, 6.9689, 7.9284 Å; angles 98.42, 98.42, 119.98 degrees
Atoms (fractional coordinates):
Ho1 0.1666 0.8334 0.0000
Ho2 0.8334 0.1666 0.0000
U1 0.5000 0.5000 0.0000
Tl1 0.0000 0.0000 0.5000
Tl2 0.3327 0.6673 0.5000
Tl3 0.6673 0.3327 0.5000
S1 0.1003 0.4349 0.8050
S2 0.2306 0.2306 0.1955
S3 0.4349 0.1003 0.8050
S4 0.5651 0.8997 0.1950
S5 0.7694 0.7694 0.8045
S6 0.8997 0.5651 0.1950

# HoUTl2S4

An optimized crystal structure of HoUTl2S4 (PBE-GGA, Alexandria via LeMat-Bulk).

DOS(E_F)   6.03 states/eV/f.u.
Symmetry   P2/m, No. 10
Calculated total energy   -47.0 eV per formula unit

Cell lengths 6.9583, 4.0252, 7.9457 Å; angles 90.00, 107.06, 90.00 degrees
Atoms (fractional coordinates):
Ho1 0.0000 0.0000 0.0000
U1 0.5000 0.5000 0.0000
Tl1 0.0000 0.5000 0.5000
Tl2 0.5000 0.0000 0.5000
S1 0.2305 0.5000 0.1952
S2 0.2674 0.0000 0.8043
S3 0.7326 0.0000 0.1957
S4 0.7695 0.5000 0.8048

# Y2HoTl3S6

An optimized crystal structure of Y2HoTl3S6 (PBE-GGA, Alexandria via LeMat-Bulk).

DOS(E_F)   0.00 states/eV/f.u.
Symmetry   C2/m, No. 12
Calculated total energy   -67.3 eV per formula unit

Cell lengths 6.9776, 6.9776, 7.8719 Å; angles 98.50, 98.50, 120.00 degrees
Atoms (fractional coordinates):
Y1 0.1667 0.8333 0.0000
Y2 0.8333 0.1667 0.0000
Ho1 0.5000 0.5000 0.0000
Tl1 0.0000 0.0000 0.5000
Tl2 0.3330 0.6670 0.5000
Tl3 0.6670 0.3330 0.5000
S1 0.1024 0.4341 0.8023
S2 0.2343 0.2343 0.1980
S3 0.4341 0.1024 0.8023
S4 0.5659 0.8976 0.1977
S5 0.7657 0.7657 0.8020
S6 0.8976 0.5659 0.1977

# YHoTlS

An optimized crystal structure of YHoTlS (PBE-GGA, Alexandria via LeMat-Bulk).

DOS(E_F)   2.71 states/eV/f.u.
Symmetry   Cm, No. 8
Calculated total energy   -22.1 eV per formula unit

Cell lengths 6.5688, 3.7941, 8.3979 Å; angles 90.00, 105.02, 90.00 degrees
Atoms (fractional coordinates):
Y1 0.0000 0.0000 0.0000
Y2 0.5000 0.5000 0.0000
Ho1 0.2018 0.0000 0.6051
Ho2 0.7018 0.5000 0.6051
Tl1 0.4345 0.0000 0.3039
Tl2 0.9345 0.5000 0.3039
S1 0.1013 0.5000 0.8036
S2 0.6013 0.0000 0.8036

# Y3HoTl2S

An optimized crystal structure of Y3HoTl2S (PBE-GGA, Alexandria via LeMat-Bulk).

DOS(E_F)   4.65 states/eV/f.u.
Symmetry   Immm, No. 71
Calculated total energy   -37.6 eV per formula unit

Cell lengths 5.0515, 5.0666, 15.9939 Å; angles 90.00, 90.00, 90.00 degrees
Atoms (fractional coordinates):
Y1 0.0000 0.0000 0.0000
Y2 0.0000 0.5000 0.1722
Y3 0.0000 0.5000 0.8278
Y4 0.5000 0.0000 0.3278
Y5 0.5000 0.0000 0.6722
Y6 0.5000 0.5000 0.5000
Ho1 0.0000 0.0000 0.5000
Ho2 0.5000 0.5000 0.0000
Tl1 0.0000 0.5000 0.3669
Tl2 0.0000 0.5000 0.6331
Tl3 0.5000 0.0000 0.1331
Tl4 0.5000 0.0000 0.8669
S1 0.0000 0.5000 0.0000
S2 0.5000 0.0000 0.5000

# YHoTl2S4

An optimized crystal structure of YHoTl2S4 (PBE-GGA, Alexandria via LeMat-Bulk).

DOS(E_F)   0.00 states/eV/f.u.
Symmetry   P2/m, No. 10
Calculated total energy   -44.2 eV per formula unit

Cell lengths 6.9704, 4.0243, 7.8725 Å; angles 90.00, 107.16, 90.00 degrees
Atoms (fractional coordinates):
Y1 0.0000 0.0000 0.0000
Ho1 0.5000 0.5000 0.0000
Tl1 0.0000 0.5000 0.5000
Tl2 0.5000 0.0000 0.5000
S1 0.2341 0.5000 0.1978
S2 0.2690 0.0000 0.8028
S3 0.7310 0.0000 0.1972
S4 0.7659 0.5000 0.8022

# Ho3ZrTl4S8

An optimized crystal structure of Ho3ZrTl4S8 (PBE-GGA, Alexandria via LeMat-Bulk).

DOS(E_F)   6.23 states/eV/f.u.
Symmetry   R-3m, No. 166
Calculated total energy   -86.7 eV per formula unit

Cell lengths 8.9891, 8.9891, 8.9891 Å; angles 51.64, 51.64, 51.64 degrees
Atoms (fractional coordinates):
Ho1 0.0000 0.5000 0.5000
Ho2 0.5000 0.0000 0.5000
Ho3 0.5000 0.5000 0.0000
Zr1 0.0000 0.0000 0.0000
Tl1 0.0000 0.0000 0.5000
Tl2 0.0000 0.5000 0.0000
Tl3 0.5000 0.0000 0.0000
Tl4 0.5000 0.5000 0.5000
S1 0.2230 0.2230 0.7440
S2 0.2230 0.7440 0.2230
S3 0.2560 0.7770 0.7770
S4 0.2682 0.2682 0.2682
S5 0.7318 0.7318 0.7318
S6 0.7440 0.2230 0.2230
S7 0.7770 0.2560 0.7770
S8 0.7770 0.7770 0.2560

# Ho2ZrTl3S6

An optimized crystal structure of Ho2ZrTl3S6 (PBE-GGA, Alexandria via LeMat-Bulk).

DOS(E_F)   4.98 states/eV/f.u.
Symmetry   C2/m, No. 12
Calculated total energy   -65.6 eV per formula unit

Cell lengths 6.7060, 6.7060, 8.3333 Å; angles 97.96, 97.96, 120.06 degrees
Atoms (fractional coordinates):
Ho1 0.1666 0.8334 0.0000
Ho2 0.8334 0.1666 0.0000
Zr1 0.5000 0.5000 0.0000
Tl1 0.0000 0.0000 0.5000
Tl2 0.3327 0.6673 0.5000
Tl3 0.6673 0.3327 0.5000
S1 0.1171 0.4364 0.8146
S2 0.2447 0.2447 0.1863
S3 0.4364 0.1171 0.8146
S4 0.5636 0.8829 0.1854
S5 0.7553 0.7553 0.8137
S6 0.8829 0.5636 0.1854

# HoTm2S3

An optimized crystal structure of HoTm2S3 (PBE-GGA, Alexandria via LeMat-Bulk).

DOS(E_F)   2.28 states/eV/f.u.
Symmetry   Immm, No. 71
Calculated total energy   -37.6 eV per formula unit

Cell lengths 3.8664, 5.4405, 11.5502 Å; angles 90.00, 90.00, 90.00 degrees
Atoms (fractional coordinates):
Ho1 0.0000 0.0000 0.0000
Ho2 0.5000 0.5000 0.5000
Tm1 0.0000 0.0000 0.3349
Tm2 0.0000 0.0000 0.6651
Tm3 0.5000 0.5000 0.1651
Tm4 0.5000 0.5000 0.8349
S1 0.0000 0.5000 0.0000
S2 0.0000 0.5000 0.3307
S3 0.0000 0.5000 0.6693
S4 0.5000 0.0000 0.1693
S5 0.5000 0.0000 0.5000
S6 0.5000 0.0000 0.8307